Entry 1:
A relaxed structure of PrRhSe2, computed with PBE.

```
4
Lattice="3.805 0.000 0.000 1.903 3.295 0.000 1.903 1.098 8.398" Properties=species:S:1:pos:R:3 pbc="T T T"
Se 5.708 3.295 2.949
Se 1.903 1.098 5.449
Pr 0.000 0.000 0.000
Rh 3.805 2.197 4.199
```

Values from the calculation:
Total magnetic moment = 0.000 μB/f.u.
Uncorrected formation energy = -1.9 eV per formula unit
D(E_F) = 1.8 states/eV/f.u.
Final energy = -5.2526 eV per atom
Crystal system = trigonal

Entry 2:
A relaxed structure of La2CdTeRu, computed with PBE.

```
5
Lattice="5.391 0.000 0.000 0.000 5.391 0.000 0.000 0.000 5.219" Properties=species:S:1:pos:R:3 pbc="T T T"
Te 2.696 2.696 2.610
Cd 0.000 0.000 2.610
La 2.696 0.000 0.000
La 0.000 2.696 0.000
Ru 0.000 0.000 0.000
```

Values from the calculation:
Total magnetic moment = 0.000 μB/f.u.
Uncorrected formation energy = -3.1 eV per formula unit
D(E_F) = 3.9 states/eV/f.u.
Final energy = -5.2606 eV per atom
Crystal system = tetragonal

Entry 3:
A relaxed structure of Ba2CaW, computed with PBE.

```
8
Lattice="10.364 0.000 0.000 0.000 10.364 0.000 5.182 5.182 3.210" Properties=species:S:1:pos:R:3 pbc="T T T"
Ca 5.182 10.364 1.605
W 0.000 0.000 0.000
Ca 5.182 5.182 0.000
Ba 7.773 6.802 2.408
Ba 1.620 7.773 0.803
Ba 8.745 2.591 0.803
Ba 12.955 13.927 2.408
W 10.364 5.182 1.605
```

Values from the calculation:
Total magnetic moment = 2.370 μB/f.u.
E_form = 116 kJ/mol of atoms
D(E_F) = 4.6 states/eV/f.u.
Final energy = -3.5002 eV per atom
Crystal system = tetragonal

Entry 4:
A relaxed structure of La2Sm3HoEr6, computed with PBE.

```
12
Lattice="-1.651 3.386 4.938 -3.568 -0.019 -5.084 -4.210 -10.147 4.253" Properties=species:S:1:pos:R:3 pbc="T T T"
La -2.928 1.118 -1.739
Sm -5.353 -4.525 -1.286
Sm -4.075 -2.255 5.393
Er -2.050 -1.145 2.699
Er -7.379 -5.635 1.408
Er -4.988 -0.025 0.962
Er -4.441 -6.755 3.145
Er -6.742 -4.503 4.738
Ho 0.000 0.000 0.000
La -2.290 2.250 1.593
Sm -4.714 -3.390 2.053
Er -2.687 -2.277 -0.631
```

Values from the calculation:
Total magnetic moment = 0.000 μB/f.u.
E_form = 2 kJ/mol of atoms
D(E_F) = 14.1 states/eV/f.u.
Final energy = -4.6458 eV per atom
Crystal system = monoclinic